5
Lattice="-2.567 -3.091 1.149 2.315 -0.652 3.417 -2.348 2.736 2.113" Properties=species:S:1:pos:R:3 comment="AlFe3Pd | the Alexandria database | PBE-GGA | relaxed" final_energy_ev_per_atom=-5.444 de_polymorph_kj_per_mol_atoms=24.7 formation_energy_kj_per_mol_atoms=137 magnetic_moment_mub_per_cell=0.38 pbc="T T T"
Fe -1.283 -1.545 0.575
Fe -1.174 1.368 1.056
Fe 1.158 -0.326 1.709
Al 0.000 0.000 0.000
Pd -1.300 -0.503 3.340